Material: BaSr3Ir
Method: DFT, PBE
State: optimized geometry

a b c (Å): 11.491 11.491 11.491
angles (deg): 146.52 146.52 48.07
Atoms (fractional coordinates):
Ba: 0.210 0.210 0.000
Ba: 0.790 0.790 0.000
Sr: 0.040 0.540 0.500
Sr: 0.128 0.377 0.751
Sr: 0.460 0.960 0.500
Sr: 0.623 0.374 0.751
Sr: 0.623 0.872 0.249
Sr: 0.626 0.377 0.249
Ir: 0.500 0.500 0.000
Ir: 0.750 0.250 0.500

Output
Space group ... I-4m2 (119)
DFT total energy ... -3.0588 eV per atom
Formation enthalpy at 0 K ... 107 meV/atom
Energy above the lowest structure with this stoichiometry ... 271 meV/atom

***

Material: AcDyTl
Method: DFT, PBE
State: optimized geometry

a b c (Å): 4.336 4.336 24.058
angles (deg): 90.00 90.00 90.00
Atoms (fractional coordinates):
Ac: 0.000 0.000 0.195
Ac: 0.000 0.000 0.805
Ac: 0.500 0.500 0.305
Ac: 0.500 0.500 0.695
Dy: 0.000 0.000 0.415
Dy: 0.000 0.000 0.585
Dy: 0.500 0.500 0.085
Dy: 0.500 0.500 0.915
Tl: 0.000 0.000 0.060
Tl: 0.000 0.000 0.940
Tl: 0.500 0.500 0.440
Tl: 0.500 0.500 0.560

Output
Space group ... I4/mmm (139)
DFT total energy ... -3.6340 eV per atom
Formation enthalpy at 0 K ... 58 meV/atom
Energy above the lowest structure with this stoichiometry ... 311 meV/atom

***

Material: Sr2Ga4Pd5
Method: DFT, PBE
State: optimized geometry

a b c (Å): 9.141 8.189 5.780
angles (deg): 79.71 61.82 38.47
Atoms (fractional coordinates):
Sr: 0.132 0.132 0.868
Sr: 0.868 0.868 0.132
Ga: 0.213 0.529 0.471
Ga: 0.471 0.787 0.213
Ga: 0.529 0.213 0.787
Ga: 0.787 0.471 0.529
Pd: 0.000 0.000 0.500
Pd: 0.250 0.250 0.250
Pd: 0.500 0.500 0.000
Pd: 0.500 0.500 0.500
Pd: 0.750 0.750 0.750

Output
Space group ... Fmmm (69)
DFT total energy ... -4.4966 eV per atom
Formation enthalpy at 0 K ... -730 meV/atom

***

Material: BeCoRe2W
Method: DFT, PBE
State: optimized geometry

a b c (Å): 4.731 4.731 4.419
angles (deg): 90.00 90.00 90.00
Atoms (fractional coordinates):
Be: 0.000 0.000 0.000
Co: 0.500 0.500 0.000
Re: 0.000 0.500 0.500
Re: 0.500 0.000 0.500
W: 0.500 0.500 0.500

Output
Space group ... P4/mmm (123)
DFT total energy ... -7.4074 eV per atom
Formation enthalpy at 0 K ... 2329 meV/atom

***

Material: CdTe2HI
Method: DFT, PBE
State: optimized geometry

a b c (Å): 4.399 4.399 7.771
angles (deg): 90.00 90.00 90.00
Atoms (fractional coordinates):
Cd: 0.000 0.000 0.000
Te: 0.000 0.500 0.500
Te: 0.500 0.000 0.500
H: 0.500 0.500 0.500
I: 0.500 0.500 0.000

Output
Space group ... P4/mmm (123)
DFT total energy ... -2.2118 eV per atom
Energy above the lowest structure with this stoichiometry ... 0 meV/atom

***

Material: PmNpC2
Method: DFT, PBE
State: optimized geometry

a b c (Å): 3.600 3.600 17.389
angles (deg): 90.00 90.00 120.00
Atoms (fractional coordinates):
Pm: 0.000 0.000 0.000
Pm: 0.333 0.667 0.667
Pm: 0.667 0.333 0.333
Np: 0.000 0.000 0.500
Np: 0.333 0.667 0.167
Np: 0.667 0.333 0.833
C: 0.000 0.000 0.232
C: 0.000 0.000 0.768
C: 0.333 0.667 0.435
C: 0.333 0.667 0.899
C: 0.667 0.333 0.101
C: 0.667 0.333 0.565

Output
Space group ... R-3m (166)
DFT total energy ... -8.9934 eV per atom
Formation enthalpy at 0 K ... 41 meV/atom